# NiAsOF2 PBE with a Hubbard U optimized geometry
data_NiAsOF2
_chemical_formula_sum 'Ni1 As1 O1 F2'
_space_group_name_H-M_alt 'P 1'
_space_group_IT_number 1
_cell_length_a 3.847
_cell_length_b 3.847
_cell_length_c 4.144
_cell_angle_alpha 90.00
_cell_angle_beta 90.00
_cell_angle_gamma 90.00
loop_
_space_group_symop_operation_xyz
'x,y,z'
loop_
_atom_site_label
_atom_site_fract_x
_atom_site_fract_y
_atom_site_fract_z
Ni1 0.000 0.000 0.000
As1 0.500 0.500 0.500
O1 0.000 0.000 0.500
F1 0.000 0.500 0.000
F2 0.500 0.000 0.000
# * excess energy over the best structure of this formula in the dataset: 0 meV/atom
# * spin magnetization: 0.411 μB/atom
# * SG: P4/mmm
# * V: 12.3 Å³ per atom